This record from the Open Quantum Materials Database describes a relaxed Tm2Al2NiPt3 crystal. The functional is PBE-GGA.

Cell lengths 4.2883, 4.2883, 9.0215 Å; angles 90.00, 90.00, 120.00 degrees
Positions (direct):
Al 0.6667 0.3333 0.9979
Al 0.6667 0.3333 0.5015
Ni 0.3333 0.6667 0.9203
Tm 0.0000 0.0000 0.7535
Tm 0.3333 0.6667 0.2454
Pt 0.0000 0.0000 0.4142
Pt 0.0000 0.0000 0.0725
Pt 0.3333 0.6667 0.5945

Magnetization ... 0.00 μB/f.u.
Final energy ... -48.7 eV for the cell shown

=====

This record from the Open Quantum Materials Database describes a relaxed Tm2Al4NiPt crystal. The functional is PBE-GGA.

Cell lengths 6.9483, 5.4333, 5.4333 Å; angles 44.66, 90.00, 90.00 degrees
Positions (direct):
Tm 0.5000 0.5677 0.5677
Tm 0.0000 0.4369 0.4369
Al 0.1895 0.1485 0.1485
Al 0.7058 0.8499 0.8499
Al 0.8105 0.1485 0.1485
Al 0.2942 0.8499 0.8499
Ni 0.0000 0.7135 0.7135
Pt 0.5000 0.2852 0.2852

Magnetization ... 0.00 μB/f.u.
Final energy ... -42.1 eV for the cell shown

=====

This record from the Open Quantum Materials Database describes a relaxed Y2Al4NiPt crystal. The functional is PBE-GGA.

Cell lengths 6.9385, 5.5513, 5.5513 Å; angles 43.89, 90.00, 90.00 degrees
Positions (direct):
Al 0.7960 0.3470 0.3470
Al 0.6890 0.6514 0.6514
Al 0.2040 0.3470 0.3470
Al 0.3110 0.6514 0.6514
Pt 0.0000 0.7857 0.7857
Y 0.0000 0.0666 0.0666
Y 0.5000 0.9371 0.9371
Ni 0.5000 0.2139 0.2139

Magnetization ... 0.00 μB/f.u.
Final energy ... -46.1 eV for the cell shown

=====

This record from the Open Quantum Materials Database describes a relaxed Y2Al2NiPt3 crystal. The functional is PBE-GGA.

Cell lengths 4.3138, 4.3138, 9.2067 Å; angles 90.00, 90.00, 120.00 degrees
Positions (direct):
Y 0.6667 0.3333 0.2462
Y 0.0000 0.0000 0.7543
Pt 0.6667 0.3333 0.5825
Pt 0.0000 0.0000 0.4112
Pt 0.6667 0.3333 0.9307
Al 0.3333 0.6667 0.4990
Al 0.3333 0.6667 0.0000
Ni 0.0000 0.0000 0.0760

Magnetization ... 0.00 μB/f.u.
Final energy ... -52.4 eV for the cell shown

=====

Q: final energy of number 2 (Tm2Al4NiPt)?
A: -42.1 eV for the cell shown